(1)
DFT (PBE) results for AlSbCl2 after structural relaxation.

Cell: 9.4225 9.4225 9.4225 Å, 21.11 21.11 21.11°
Closest atoms and distances in Å follow each position.
Atoms (fractional coordinates):
Cl 0.0214 0.0214 0.0214  3 Al 2.55
Cl 0.2386 0.2386 0.2386  3 Sb 2.92
Al 0.7454 0.7454 0.7454  3 Cl 2.55
Sb 0.4946 0.4946 0.4946  3 Cl 2.92, 3 Al 3.03

Properties
Raw total energy in eV per cell: -12.96
Total moment in μB/f.u.: 0.00
V in Å³/cell: 95.01
Raw formation energy in eV/atom: -0.350

=====

(2)
DFT (PBE) results for NiHgSe2 after structural relaxation.

Cell: 8.9992 8.9992 8.9992 Å, 22.88 22.88 22.88°
Closest atoms and distances in Å follow each position.
Atoms (fractional coordinates):
Se 0.1199 0.1199 0.1199  3 Ni 2.40
Se 0.8801 0.8801 0.8801  3 Ni 2.40
Hg 0.0000 0.0000 0.0000  2 Se 3.15
Ni 0.5000 0.5000 0.5000  6 Se 2.40

Properties
Raw total energy in eV per cell: -13.83
Total moment in μB/f.u.: 0.00
V in Å³/cell: 96.66
Raw formation energy in eV/atom: -0.194

=====

(3)
DFT (PBE) results for LaPuZnAg after structural relaxation.

Cell: 5.2668 5.2668 5.2668 Å, 60.00 60.00 60.00°
Closest atoms and distances in Å follow each position.
Atoms (fractional coordinates):
Ag 0.2500 0.2500 0.2500  4 Pu 3.23, 4 La 3.23
Pu 0.5000 0.5000 0.5000  4 Zn 3.23, 4 Ag 3.23
Zn 0.7500 0.7500 0.7500  4 La 3.23, 4 Pu 3.23
La 0.0000 0.0000 0.0000  4 Ag 3.23, 4 Zn 3.23

Properties
Raw total energy in eV per cell: -23.68
Total moment in μB/f.u.: 6.34
V in Å³/cell: 103.31

=====

(4)
DFT (PBE) results for ScAs2IBr after structural relaxation.

Cell: 5.3339 5.3339 5.1067 Å, 90.00 90.00 90.00°
Closest atoms and distances in Å follow each position.
Atoms (fractional coordinates):
I 0.5000 0.5000 0.5000  8 As 3.69, 4 Br 3.77
Br 0.0000 0.0000 0.5000  2 Sc 2.55
Sc 0.0000 0.0000 0.0000  2 Br 2.55, 4 As 2.67
As 0.0000 0.5000 0.0000  2 Sc 2.67
As 0.5000 0.0000 0.0000  2 Sc 2.67

Properties
Raw total energy in eV per cell: -19.36
Total moment in μB/f.u.: 0.34
V in Å³/cell: 145.29
Raw formation energy in eV/atom: -0.102

=====

(5)
DFT (PBE) results for TaAl2Tl after structural relaxation.

Cell: 4.6701 2.8812 5.6316 Å, 90.02 90.00 90.00°
Closest atoms and distances in Å follow each position.
Atoms (fractional coordinates):
Al 0.0000 0.7470 0.4749  1 Al 2.53, 2 Tl 2.80
Al 0.0000 0.7530 0.0251  1 Al 2.53, 2 Tl 2.80
Tl 0.5000 0.7500 0.7500  4 Al 2.80, 2 Tl 2.88
Ta 0.5000 0.2500 0.2500  2 Ta 2.88, 8 Al 3.02-3.03, 4 Tl 3.16

Properties
Raw total energy in eV per cell: -20.73
Total moment in μB/f.u.: 0.00
V in Å³/cell: 75.78

=====

(6)
DFT (PBE) results for TbCe2TmSe6 after structural relaxation.

Cell: 7.3593 7.3594 7.7563 Å, 61.69 61.68 60.00°
Closest atoms and distances in Å follow each position.
Atoms (fractional coordinates):
Se 0.6003 0.2038 0.2560  1 Tm 2.81, 1 Tb 2.91, 2 Ce 2.96-3.01
Se 0.4341 0.7012 0.7586  1 Tb 2.85, 1 Tm 2.86, 2 Ce 2.95-3.01
Se 0.7012 0.1061 0.7586  1 Tb 2.85, 1 Tm 2.86, 2 Ce 2.95-3.01
Se 0.2038 0.9399 0.2560  1 Tm 2.81, 1 Tb 2.91, 2 Ce 2.96-3.01
Se 0.1061 0.4341 0.7586  1 Tb 2.85, 1 Tm 2.86, 2 Ce 2.96-3.01
Se 0.9400 0.6003 0.2560  1 Tm 2.81, 1 Tb 2.91, 2 Ce 2.96-3.01
Ce 0.5199 0.5199 0.4403  6 Se 2.96-3.01
Ce 0.0190 0.0190 0.9429  6 Se 2.95-3.01
Tm 0.3192 0.3192 0.0424  6 Se 2.81-2.86
Tb 0.8181 0.8181 0.5458  6 Se 2.85-2.91

Properties
Raw total energy in eV per cell: -59.81
Total moment in μB/f.u.: 2.00
V in Å³/cell: 304.38
Raw formation energy in eV/atom: -1.794

=====

(7)
DFT (PBE) results for Pm4Cd3Hg after structural relaxation.

Cell: 3.6339 4.9929 12.4328 Å, 90.00 90.00 90.00°
Closest atoms and distances in Å follow each position.
Atoms (fractional coordinates):
Cd 0.0000 0.5000 0.5710  2 Cd 3.06, 7 Pm 3.27-3.40
Cd 0.0000 0.0000 0.4282  2 Cd 3.06, 7 Pm 3.27-3.40
Cd 0.5000 0.0000 0.9273  2 Hg 3.10, 7 Pm 3.26-3.36
Pm 0.0000 0.0000 0.1549  4 Hg 3.25, 3 Cd 3.36-3.40, 2 Pm 3.63
Pm 0.0000 0.5000 0.8444  5 Cd 3.26-3.40, 2 Hg 3.39, 2 Pm 3.63
Pm 0.5000 0.0000 0.6586  7 Cd 3.27-3.39, 2 Pm 3.63
Pm 0.5000 0.5000 0.3411  6 Cd 3.27-3.39, 1 Hg 3.31, 2 Pm 3.63
Hg 0.5000 0.5000 0.0745  2 Cd 3.10, 7 Pm 3.25-3.39

Properties
Raw total energy in eV per cell: -24.52
Total moment in μB/f.u.: 0.00
V in Å³/cell: 225.58

=====

(8)
DFT (PBE) results for K2TlAu after structural relaxation.

Cell: 6.7456 6.7456 6.7456 Å, 142.42 128.44 65.53°
Closest atoms and distances in Å follow each position.
Atoms (fractional coordinates):
K 0.0346 0.0346 0.0000  2 Au 3.58, 2 K 3.70, 4 Tl 3.78
K 0.7329 0.2329 0.5000  4 K 3.70-4.05, 4 Au 3.70, 4 Tl 3.81-3.90
Tl 0.4469 0.4469 0.0000  2 Au 2.84
Au 0.2857 0.7857 0.5000  2 Tl 2.84

Properties
Raw total energy in eV per cell: -8.51
Total moment in μB/f.u.: 0.00
V in Å³/cell: 144.62

=====

(9)
DFT (PBE) results for Sc2GeAu after structural relaxation.

Cell: 4.1827 5.5656 7.3747 Å, 109.76 90.00 90.00°
Closest atoms and distances in Å follow each position.
Atoms (fractional coordinates):
Sc 0.7500 0.2163 0.4287  4 Au 2.83-3.05, 3 Ge 2.85-3.01
Sc 0.2500 0.7908 0.0734  4 Ge 2.80-3.06, 3 Au 2.85-3.05
Sc 0.2500 0.7837 0.5713  4 Au 2.83-3.05, 3 Ge 2.85-3.01
Sc 0.7500 0.2092 0.9266  4 Ge 2.80-3.06, 3 Au 2.85-3.05
Ge 0.2500 0.3263 0.2067  2 Au 2.78, 7 Sc 2.80-3.06
Ge 0.7500 0.6737 0.7933  2 Au 2.78, 7 Sc 2.80-3.06
Au 0.2500 0.3236 0.7064  2 Ge 2.78, 7 Sc 2.83-3.05
Au 0.7500 0.6764 0.2936  2 Ge 2.78, 7 Sc 2.83-3.05

Properties
Raw total energy in eV per cell: -47.41
Total moment in μB/f.u.: 0.00
V in Å³/cell: 161.57

=====

(10)
DFT (PBE) results for SrReOs2N after structural relaxation.

Cell: 4.9907 3.9030 4.9907 Å, 90.00 90.00 90.00°
Closest atoms and distances in Å follow each position.
Atoms (fractional coordinates):
N 0.0000 0.5000 0.0000  2 Sr 1.95
Os 0.0000 0.0000 0.5000  2 Sr 2.50
Os 0.5000 0.0000 0.0000  2 Sr 2.50
Re 0.5000 0.5000 0.5000  8 Os 3.17, 4 N 3.53
Sr 0.0000 0.0000 0.0000  2 N 1.95

Properties
Raw total energy in eV per cell: -25.76
Total moment in μB/f.u.: 3.53
V in Å³/cell: 97.21
Raw formation energy in eV/atom: 3.831

=====

(11)
DFT (PBE) results for NaPr2Ho after structural relaxation.

Cell: 3.5662 3.5662 11.0038 Å, 90.00 90.00 90.00°
Closest atoms and distances in Å follow each position.
Atoms (fractional coordinates):
Pr 0.0000 0.0000 0.2325  4 Pr 3.57, 4 Ho 3.59, 4 Na 3.88
Pr 0.0000 0.0000 0.7675  4 Pr 3.57, 4 Ho 3.59, 4 Na 3.88
Ho 0.5000 0.5000 0.0000  4 Ho 3.57, 8 Pr 3.59
Na 0.5000 0.5000 0.5000  4 Na 3.57, 8 Pr 3.88

Properties
Raw total energy in eV per cell: -15.09
Total moment in μB/f.u.: 0.00
V in Å³/cell: 139.94

=====

(12)
DFT (PBE) results for Np2PbF8 after structural relaxation.

Cell: 3.9537 5.9445 7.8999 Å, 114.23 104.49 90.00°
Closest atoms and distances in Å follow each position.
Atoms (fractional coordinates):
F 0.3199 0.5912 0.6398  3 Np 2.44-2.54, 1 F 2.69
F 0.3975 0.2511 0.7950  2 Np 2.41, 1 Pb 2.58, 1 F 2.65
F 0.6801 0.4088 0.3602  3 Np 2.44-2.54, 1 F 2.69
F 0.9639 0.7093 0.9278  1 Np 2.36, 2 Pb 2.53
F 0.7922 0.9016 0.5843  3 Np 2.37-2.62, 1 F 2.65
F 0.0361 0.2907 0.0722  1 Np 2.36, 2 Pb 2.53
F 0.6025 0.7489 0.2050  2 Np 2.41, 1 Pb 2.58, 1 F 2.65
F 0.2078 0.0984 0.4157  3 Np 2.37-2.62, 1 F 2.65
Np 0.1758 0.6712 0.3516  9 F 2.36-2.62
Np 0.8242 0.3288 0.6484  9 F 2.36-2.62
Pb 0.5000 0.0000 0.0000  8 F 2.53-2.80

Properties
Raw total energy in eV per cell: -79.12
Total moment in μB/f.u.: 8.00
V in Å³/cell: 162.81
Raw formation energy in eV/atom: -3.142

=====

(13)
DFT (PBE) results for NaLiCa2Rh after structural relaxation.

Cell: 5.7160 4.7648 5.7160 Å, 90.00 90.00 90.00°
Closest atoms and distances in Å follow each position.
Atoms (fractional coordinates):
Ca 0.5000 0.0000 0.0000  2 Na 2.86
Ca 0.0000 0.0000 0.5000  2 Na 2.86
Na 0.0000 0.0000 0.0000  2 Rh 2.38
Li 0.5000 0.5000 0.5000  8 Ca 3.72, 4 Rh 4.04
Rh 0.0000 0.5000 0.0000  2 Na 2.38

Properties
Raw total energy in eV per cell: -11.52
Total moment in μB/f.u.: 0.00
V in Å³/cell: 155.68

=====

(14)
DFT (PBE) results for CsBa2OsF after structural relaxation.

Cell: 5.6870 6.9790 5.6870 Å, 90.00 90.00 90.00°
Closest atoms and distances in Å follow each position.
Atoms (fractional coordinates):
Ba 0.0000 0.0000 0.5000  2 Os 2.84
Ba 0.5000 0.0000 0.0000  2 Os 2.84
F 0.5000 0.5000 0.5000  4 Cs 4.02, 8 Ba 4.50
Cs 0.0000 0.5000 0.0000  2 Os 3.49
Os 0.0000 0.0000 0.0000  4 Ba 2.84

Properties
Raw total energy in eV per cell: -18.18
Total moment in μB/f.u.: 0.00
V in Å³/cell: 225.71
Raw formation energy in eV/atom: -0.077

=====

(15)
DFT (PBE) results for MgOs2 after structural relaxation.

Cell: 6.2560 6.2560 4.1177 Å, 90.00 90.00 120.00°
Closest atoms and distances in Å follow each position.
Atoms (fractional coordinates):
Os 0.7642 0.7642 0.0000  4 Mg 2.45-2.53, 2 Os 2.56
Os 0.2358 0.0000 0.0000  4 Mg 2.45-2.53, 2 Os 2.56
Os 0.0000 0.5263 0.5000  5 Mg 2.74-2.96, 2 Os 2.75
Os 0.5263 0.0000 0.5000  5 Mg 2.74-2.96, 2 Os 2.75
Os 0.0000 0.2358 0.0000  4 Mg 2.45-2.53, 2 Os 2.56
Os 0.4737 0.4737 0.5000  5 Mg 2.74-2.96, 2 Os 2.75
Mg 0.6667 0.3333 0.0000  3 Os 2.45
Mg 0.3333 0.6667 0.0000  3 Os 2.45
Mg 0.0000 0.0000 0.5000  6 Os 2.53

Properties
Raw total energy in eV per cell: -63.78
Total moment in μB/f.u.: 0.00
V in Å³/cell: 139.57

=====

(16)
DFT (PBE) results for NdTh2Sb3 after structural relaxation.

Cell: 4.5026 6.3768 7.8265 Å, 114.04 106.72 90.00°
Closest atoms and distances in Å follow each position.
Atoms (fractional coordinates):
Sb 0.5000 0.0000 0.5000  4 Th 3.18, 2 Nd 3.19
Sb 0.1674 0.6674 0.8348  4 Th 3.19, 2 Nd 3.20
Sb 0.8326 0.3326 0.1652  4 Th 3.19, 2 Nd 3.20
Th 0.8342 0.8342 0.1684  6 Sb 3.18-3.19
Th 0.1658 0.1658 0.8316  6 Sb 3.18-3.19
Nd 0.5000 0.5000 0.5000  6 Sb 3.19-3.20

Properties
Raw total energy in eV per cell: -38.05
Total moment in μB/f.u.: 0.00
V in Å³/cell: 194.78
Raw formation energy in eV/atom: -1.013

=====

(17)
DFT (PBE) results for LiMgRh2 after structural relaxation.

Cell: 4.5288 4.5288 4.8333 Å, 79.24 79.24 36.14°
Closest atoms and distances in Å follow each position.
Atoms (fractional coordinates):
Rh 0.0002 0.0002 0.9873  3 Li 2.63-2.64, 3 Mg 2.67-2.70, 6 Rh 2.69-2.90
Rh 0.4998 0.4998 0.5127  3 Li 2.63-2.64, 3 Mg 2.67-2.70, 6 Rh 2.69-2.90
Mg 0.2500 0.2500 0.2500  6 Rh 2.67-2.70, 4 Li 2.80, 2 Mg 2.81
Li 0.7500 0.7500 0.7500  6 Rh 2.63-2.64, 4 Mg 2.80, 2 Li 2.81

Properties
Raw total energy in eV per cell: -19.33
Total moment in μB/f.u.: 0.00
V in Å³/cell: 57.32

=====

(18)
DFT (PBE) results for CaBiPd4 after structural relaxation.

Cell: 5.4596 5.4596 5.4596 Å, 60.00 60.00 60.00°
Closest atoms and distances in Å follow each position.
Atoms (fractional coordinates):
Ca 0.0000 0.0000 0.0000  12 Pd 3.20, 4 Bi 3.34
Bi 0.2500 0.2500 0.2500  12 Pd 3.20, 4 Ca 3.34
Pd 0.6248 0.6248 0.1255  6 Pd 2.73
Pd 0.1255 0.6248 0.6248  6 Pd 2.73
Pd 0.6248 0.6248 0.6248  6 Pd 2.73
Pd 0.6248 0.1255 0.6248  6 Pd 2.73

Properties
Raw total energy in eV per cell: -29.26
Total moment in μB/f.u.: 0.00
V in Å³/cell: 115.07

=====

(19)
DFT (PBE) results for TmTlCuS2 after structural relaxation.

Cell: 5.7703 6.3257 7.3099 Å, 105.34 90.00 90.00°
Closest atoms and distances in Å follow each position.
Atoms (fractional coordinates):
S 0.2868 0.2338 0.0699  1 Cu 2.19
S 0.2868 0.7662 0.4301  1 Cu 2.19
S 0.7132 0.2338 0.5699  1 Cu 2.19
S 0.7132 0.7662 0.9301  1 Cu 2.19
Tm 0.5268 0.0000 0.2500  4 S 2.62-2.64
Tm 0.4732 0.0000 0.7500  4 S 2.62-2.64
Cu 0.0000 0.0000 0.0000  2 S 2.19
Cu 0.0000 0.0000 0.5000  2 S 2.19
Tl 0.7992 0.5000 0.2500  6 S 3.26-3.48, 2 Cu 3.41, 2 Tm 3.53
Tl 0.2008 0.5000 0.7500  6 S 3.26-3.48, 2 Cu 3.41, 2 Tm 3.53

Properties
Raw total energy in eV per cell: -46.56
Total moment in μB/f.u.: 0.00
V in Å³/cell: 257.31
Raw formation energy in eV/atom: -0.818

=====

(20)
DFT (PBE) results for Li2CaNdHg2 after structural relaxation.

Cell: 4.8872 4.8872 7.1940 Å, 90.00 90.00 120.00°
Closest atoms and distances in Å follow each position.
Atoms (fractional coordinates):
Li 0.3333 0.6667 0.7443  3 Hg 2.83
Li 0.6667 0.3333 0.2557  3 Hg 2.83
Hg 0.6667 0.3333 0.7645  3 Li 2.83
Hg 0.3333 0.6667 0.2355  3 Li 2.83
Nd 0.0000 0.0000 0.0000  6 Hg 3.29, 6 Li 3.37, 2 Ca 3.60
Ca 0.0000 0.0000 0.5000  6 Li 3.32, 6 Hg 3.40, 2 Nd 3.60

Properties
Raw total energy in eV per cell: -13.21
Total moment in μB/f.u.: 0.00
V in Å³/cell: 148.81